# Tc2PRh

A relaxed Tc2PRh crystal (PBE, the Alexandria database).

abc: 4.969 7.945 2.830
angles: 90.00 90.00 90.00
Space group Cmmm (No. 65)
Asymmetric unit:
Tc  0.250  0.250  0.000
P  0.000  0.000  0.500
Rh  0.000  0.500  0.500

Computed properties:
Formation energy from the elements   0.06 eV per atom
Energy   -8.31 eV/atom